16
Lattice="-3.4134 0.6312 -4.7085 -1.6197 -7.5495 0.1622 -6.1738 1.4248 4.6666" Properties=species:S:1:pos:R:3 comment="PBE with a Hubbard U RbTl2CrO4, relaxed" e_tot_ev_per_atom=-5.34 density_g_cm3=5.7 pbc="T T T"
Rb -6.5756 0.6003 -2.2479
Rb -3.0892 -6.5206 -2.0960
Tl -3.8835 -1.9162 -0.9333
Tl -6.6893 -1.2687 1.1875
Tl -9.1777 -3.2215 -0.9041
Tl -5.8097 -3.9988 -3.4499
Cr -6.1092 -4.9904 0.0761
Cr -0.3510 -1.5224 0.0005
O -1.4400 -1.7257 -1.3782
O -7.0312 -4.4152 -1.3193
O -4.7011 0.8770 0.1475
O -4.8853 -6.8117 -4.3834
O -6.7320 -4.1356 1.4564
O -4.6707 -1.3580 -3.2994
O -8.5505 -0.4626 -0.3667
O -4.4380 -4.6651 -0.2775